A relaxed structure of Ba3La3YTe8. Source: Alexandria, functional PBE-GGA.

Calculated values
- raw formation energy (eV/atom) = -1.6316
- SG = R-3m

Cell: 9.6796 9.6796 9.6796 Å, 57.42 57.42 57.42°
With the nearest neighbours (Å) after each atom.
Atoms (fractional coordinates):
Ba 0.0000 0.5000 0.5000  6 Te 3.46-3.48
Ba 0.5000 0.0000 0.5000  6 Te 3.46-3.48
Ba 0.5000 0.5000 0.0000  6 Te 3.46-3.48
La 0.0000 0.0000 0.5000  6 Te 3.25-3.26
La 0.0000 0.5000 0.0000  6 Te 3.25-3.26
La 0.5000 0.0000 0.0000  6 Te 3.25-3.26
Y 0.5000 0.5000 0.5000  6 Te 3.15
Te 0.2431 0.2431 0.2431  3 La 3.26, 3 Ba 3.46
Te 0.2490 0.7354 0.7354  1 Y 3.15, 2 La 3.25, 2 Ba 3.48
Te 0.2646 0.2646 0.7510  1 Y 3.15, 2 La 3.25, 2 Ba 3.48
Te 0.2646 0.7510 0.2646  1 Y 3.15, 2 La 3.25, 2 Ba 3.48
Te 0.7354 0.2490 0.7354  1 Y 3.15, 2 La 3.25, 2 Ba 3.48
Te 0.7354 0.7354 0.2490  1 Y 3.15, 2 La 3.25, 2 Ba 3.48
Te 0.7510 0.2646 0.2646  1 Y 3.15, 2 La 3.25, 2 Ba 3.48
Te 0.7569 0.7569 0.7569  3 La 3.26, 3 Ba 3.46